The following is a PBE calculation of an optimized crystal structure of Ac5LaHo4, from Alexandria.

```
Ac5LaHo4
1.0
5.3176 0.0000 1.2147
1.8069 9.9262 4.3370
0.7277 4.2297 9.0613
Ho Ac La
4 5 1
direct
0.1986 0.3978 0.2051 Ho
0.3992 0.8034 0.3982 Ho
0.6008 0.1966 0.6018 Ho
0.8014 0.6022 0.7949 Ho
0.3977 0.3071 0.8975 Ac
0.6023 0.6929 0.1025 Ac
0.2013 0.8957 0.7017 Ac
0.7987 0.1043 0.2983 Ac
0.0000 0.5000 0.5000 Ac
0.0000 0.0000 0.0000 La
```

Results
- SG: No. 12

---

The following is a PBE calculation of an optimized crystal structure of Ac2La5Ho12, from Alexandria.

```
Ac2La5Ho12
1.0
-4.9460 -4.8745 -0.0775
1.2227 2.7052 -14.9236
5.2855 -5.0852 14.7371
Ho La Ac
12 5 2
direct
0.1219 0.6012 0.9874 Ho
0.0810 0.0018 0.7539 Ho
0.3768 0.4725 0.7214 Ho
0.5679 0.9387 0.7599 Ho
0.8781 0.3988 0.0126 Ho
0.6232 0.5275 0.2786 Ho
0.3836 0.4886 0.0677 Ho
0.9202 0.5492 0.7414 Ho
0.9190 0.9982 0.2461 Ho
0.4321 0.0613 0.2401 Ho
0.6164 0.5114 0.9323 Ho
0.0798 0.4508 0.2586 Ho
0.0000 0.0000 0.5000 La
0.5775 0.0630 0.4473 La
0.2319 0.4692 0.5057 La
0.7681 0.5308 0.4943 La
0.4225 0.9370 0.5527 La
0.2671 0.0524 0.0155 Ac
0.7329 0.9476 0.9845 Ac
```

Results
- SG: No. 2

---

The following is a PBE calculation of an optimized crystal structure of Ac4La2Ho, from Alexandria.

```
Ac4La2Ho
1.0
-2.0390 0.8954 -3.0263
-5.1911 -2.0115 2.9024
0.7750 12.2921 3.1148
Ho Ac La
1 4 2
direct
0.0000 0.5000 0.0000 Ho
0.5000 0.6356 0.2712 Ac
0.0000 0.9230 0.8460 Ac
0.0000 0.0770 0.1540 Ac
0.5000 0.3644 0.7288 Ac
0.5000 0.7846 0.5692 La
0.5000 0.2154 0.4308 La
```

Results
- SG: No. 65

---

The following is a PBE calculation of an optimized crystal structure of AcLa3Ho2, from Alexandria.

```
AcLa3Ho2
1.0
-0.2836 3.2471 1.4169
-1.4594 -2.5241 5.4922
10.5491 -0.5920 -0.9890
La Ho Ac
3 2 1
direct
0.8090 0.8090 0.6180 La
0.1910 0.1910 0.3820 La
0.0000 0.5000 0.0000 La
0.6372 0.6372 0.2744 Ho
0.3628 0.3628 0.7256 Ho
0.0000 0.0000 0.0000 Ac
```

Results
- SG: No. 71
- Energy above the lowest structure with this stoichiometry: 0.283 eV/atom

---

The following is a PBE calculation of an optimized crystal structure of Ac4La7Ho, from Alexandria.

```
Ac4La7Ho
1.0
7.0592 -1.7044 2.1920
0.6110 6.0050 2.7212
2.3402 -1.6186 11.0729
Ac Ho La
4 1 7
direct
0.4937 0.3277 0.6705 Ac
0.2507 0.1722 0.3304 Ac
0.7493 0.8278 0.6696 Ac
0.5063 0.6723 0.3295 Ac
0.0000 0.0000 0.0000 Ho
0.9982 0.3293 0.6726 La
0.7585 0.4988 0.9981 La
0.2415 0.5012 0.0019 La
0.2452 0.8330 0.6718 La
0.5000 0.0000 0.0000 La
0.0018 0.6707 0.3274 La
0.7548 0.1670 0.3282 La
```

Results
- SG: No. 2

---

The following is a PBE calculation of an optimized crystal structure of AcLa2Ho7, from Alexandria.

```
AcLa2Ho7
1.0
-1.1861 4.5925 1.9511
-5.1986 -7.1677 0.2303
7.7442 1.7675 7.2940
Ho La Ac
7 2 1
direct
0.2955 0.8960 0.2011 Ho
0.5000 0.5000 0.0000 Ho
0.1982 0.5964 0.7967 Ho
0.7045 0.1040 0.7989 Ho
0.9001 0.6990 0.5977 Ho
0.8018 0.4036 0.2033 Ho
0.0999 0.3010 0.4023 Ho
0.5965 0.7946 0.3964 La
0.4035 0.2054 0.6036 La
0.0000 0.0000 0.0000 Ac
```

Results
- SG: No. 12

---

What are the E_form values for these records? In order: 0.049; 0.105; 0.211; 0.325; 0.027; 0.045 eV per atom.